Record 1
SbAs2P: relaxed, PBE.

Structure (POSCAR):
```
SbAs2P
1.0
-3.431 -1.717 -0.767
2.248 -3.193 -2.905
1.361 -3.848 2.527
As P Sb
2 1 1
direct
0.000 0.462 0.498
0.000 0.038 0.002
0.500 0.250 0.250
0.500 0.750 0.750
```

Properties
raw total energy	-4.553	eV/atom
formation energy without anion corrections	0.155	eV per atom
DOS at the Fermi energy	1.2	states/eV per cell
symmetry	P2/m (10)
energy above the most stable polymorph in this dataset	0.110	eV per atom

***

Record 2
SbAs2P: relaxed, PBE.

Structure (POSCAR):
```
SbAs2P
1.0
-2.568 -1.434 -1.704
1.199 -1.962 2.504
-5.585 3.531 5.443
Sb P As
1 1 2
direct
0.500 0.500 0.759
0.000 0.000 0.462
0.000 0.000 0.987
0.500 0.500 0.291
```

Properties
raw total energy	-4.245	eV/atom
formation energy without anion corrections	0.463	eV per atom
DOS at the Fermi energy	1.7	states/eV per cell
symmetry	Cmm2 (35)
energy above the most stable polymorph in this dataset	0.418	eV per atom

***

Record 3
SbAs2P: relaxed, PBE.

Structure (POSCAR):
```
SbAs2P
1.0
3.816 0.000 0.000
0.000 4.333 0.064
0.000 3.071 5.984
P Sb As
1 1 2
direct
0.000 0.508 0.549
0.500 0.789 0.676
0.500 0.308 0.124
0.000 0.895 0.152
```

Properties
raw total energy	-4.617	eV/atom
formation energy without anion corrections	0.091	eV per atom
DOS at the Fermi energy	0.6	states/eV per cell
symmetry	Pm (6)
energy above the most stable polymorph in this dataset	0.046	eV per atom

***

Record 4
Sb2AsP: relaxed, PBE.

Structure (POSCAR):
```
Sb2AsP
1.0
6.480 0.153 0.000
3.885 5.188 0.000
-5.182 -2.671 2.832
Sb P As
2 1 1
direct
0.000 0.000 0.000
0.250 0.750 0.500
0.750 0.250 0.500
0.500 0.500 0.000
```

Properties
raw total energy	-4.096	eV/atom
formation energy without anion corrections	0.481	eV per atom
DOS at the Fermi energy	2.7	states/eV per cell
symmetry	I-4m2 (119)
energy above the most stable polymorph in this dataset	0.434	eV per atom

***

Record 5
SbAs2P: relaxed, PBE.

Structure (POSCAR):
```
SbAs2P
1.0
0.000 3.428 3.428
3.428 0.000 3.428
3.428 3.428 0.000
P As Sb
1 2 1
direct
0.000 0.000 0.000
0.750 0.750 0.750
0.250 0.250 0.250
0.500 0.500 0.500
```

Properties
raw total energy	-4.172	eV/atom
formation energy without anion corrections	0.536	eV per atom
DOS at the Fermi energy	2.5	states/eV per cell
symmetry	Fm-3m (225)
energy above the most stable polymorph in this dataset	0.491	eV per atom

***

Record 6
SbAsP: relaxed, PBE.

Structure (POSCAR):
```
SbAsP
1.0
-0.751 -0.238 -5.996
2.767 -3.068 -4.416
-2.570 -0.138 5.472
P Sb As
1 1 1
direct
0.373 0.373 0.000
0.672 0.672 0.000
0.955 0.955 0.000
```

Properties
raw total energy	-4.358	eV/atom
formation energy without anion corrections	0.370	eV per atom
DOS at the Fermi energy	1.3	states/eV per cell
symmetry	I4mm (107)
energy above the most stable polymorph in this dataset	0.190	eV per atom